1.
A plane-wave DFT calculation with PBE-GGA was carried out for crystalline Tb4Y5Er2 at its relaxed geometry.

Properties
excess energy over the best structure of this formula in the dataset	114	meV/atom
formation enthalpy at 0 K	134	meV/atom
space-group type	C2/m (12)

Cell: 6.6399 6.6399 9.1163 Å, 103.56 103.56 68.11°
Closest atoms and distances in Å follow each position.
Fractional coordinates of all 11 atoms:
Tb1 0.1709 0.1709 0.1213  2 Tb 3.41-3.78, 6 Y 3.41-3.44, 3 Er 3.41-3.73
Tb2 0.1824 0.1824 0.4987  1 Tb 3.41, 1 Er 3.44, 5 Y 3.49-3.59
Tb3 0.8176 0.8176 0.5013  1 Tb 3.41, 1 Er 3.44, 5 Y 3.49-3.59
Tb4 0.8291 0.8291 0.8787  2 Tb 3.41-3.78, 6 Y 3.41-3.44, 3 Er 3.41-3.73
Y1 0.1513 0.7091 0.2191  2 Y 3.21-3.29, 5 Tb 3.41-3.59, 2 Er 3.44
Y2 0.2909 0.8487 0.7809  2 Y 3.21-3.29, 5 Tb 3.41-3.59, 2 Er 3.44
Y3 0.5000 0.5000 0.5000  4 Y 3.21, 2 Tb 3.49
Y4 0.7091 0.1513 0.2191  2 Y 3.21-3.29, 5 Tb 3.41-3.59, 2 Er 3.44
Y5 0.8487 0.2909 0.7809  2 Y 3.21-3.29, 5 Tb 3.41-3.59, 2 Er 3.44
Er1 0.3559 0.3559 0.8779  1 Er 3.32, 2 Tb 3.41-3.44, 6 Y 3.44-3.63
Er2 0.6441 0.6441 0.1221  1 Er 3.32, 2 Tb 3.41-3.44, 6 Y 3.44-3.63

2.
A plane-wave DFT calculation with PBE-GGA was carried out for crystalline TeAs2Pb at its relaxed geometry.

Properties
excess energy over the best structure of this formula in the dataset	71	meV/atom
uncorrected formation energy	0.013	eV per atom
space-group type	C2/m (12)

Cell: 12.6633 4.0014 5.0018 Å, 90.00 109.80 90.00°
Closest atoms and distances in Å follow each position.
Fractional coordinates of all 8 atoms:
Te1 0.0000 0.0000 0.0000  2 As 2.99, 4 Pb 3.20
Te2 0.5000 0.5000 0.0000  2 As 2.99, 4 Pb 3.20
As1 0.2454 0.0000 0.3332  2 As 2.58
As2 0.2546 0.5000 0.6668  2 As 2.58
As3 0.7454 0.5000 0.3332  2 As 2.58
As4 0.7546 0.0000 0.6668  2 As 2.58
Pb1 0.0000 0.5000 0.5000  2 As 3.04, 4 Te 3.20
Pb2 0.5000 0.0000 0.5000  2 As 3.04, 4 Te 3.20

3.
A plane-wave DFT calculation with PBE-GGA was carried out for crystalline Y2CdInH at its relaxed geometry.

Properties
uncorrected energy	-4.343	eV per atom
space-group type	P4/mmm (123)

Cell: 4.8008 4.8008 4.5684 Å, 90.00 90.00 90.00°
Closest atoms and distances in Å follow each position.
Fractional coordinates of all 5 atoms:
Y1 0.0000 0.5000 0.0000  2 H 2.40
Y2 0.5000 0.0000 0.0000  2 H 2.40
Cd1 0.0000 0.0000 0.5000  2 H 2.28
In1 0.5000 0.5000 0.5000  8 Y 3.31, 4 Cd 3.39
H1 0.0000 0.0000 0.0000  2 Cd 2.28, 4 Y 2.40